Entry 1:
Entry from the Alexandria database: an optimized crystal structure of Cs3LiCe2Te6 (PBE-GGA).

## Properties
* raw total energy: -0.151 Ha/atom
* uncorrected formation energy: -1168 meV per atom
* size of the total moment: 0.000 μB per atom

Lattice parameters (Å, degrees): 8.034 8.034 9.205 98.28 98.28 120.03
Fractional coordinates of all 12 atoms:
Te  0.280  0.280  0.816
Te  0.720  0.720  0.184
Te  0.937  0.593  0.812
Te  0.063  0.407  0.188
Te  0.593  0.937  0.812
Te  0.407  0.063  0.188
Cs  0.500  0.500  0.500
Cs  0.161  0.839  0.500
Cs  0.839  0.161  0.500
Ce  0.333  0.667  0.000
Ce  0.667  0.333  0.000
Li  0.000  0.000  0.000



Entry 2:
Entry from the Alexandria database: an optimized crystal structure of Ba2PbI (PBE-GGA).

## Properties
* raw total energy: -0.114 Ha/atom
* uncorrected formation energy: -827 meV per atom
* size of the total moment: 0.250 μB per atom
* relative energy among the computed polymorphs: 0.55 eV per formula unit
* DOS at the Fermi energy: 5.04 states/eV/f.u.

Lattice parameters (Å, degrees): 6.185 6.185 6.185 60.00 60.00 60.00
Site moments in Bohr magnetons follow the coordinates.
Fractional coordinates of all 4 atoms:
Ba  0.250  0.250  0.250  0.05
Ba  0.750  0.750  0.750  0.05
Pb  0.500  0.500  0.500  0.23
I  0.000  0.000  0.000  0.06



Entry 3:
Entry from the Alexandria database: an optimized crystal structure of Rb2CeAsO6 (PBE-GGA).

## Properties
* raw total energy: -0.221 Ha/atom
* uncorrected formation energy: -1793 meV per atom
* size of the total moment: 0.105 μB per atom
* DOS at the Fermi energy: 2.51 states/eV/f.u.

Lattice parameters (Å, degrees): 5.759 6.514 6.514 120.00 90.00 90.00
Site moments in Bohr magnetons follow the coordinates.
Fractional coordinates of all 10 atoms:
O  0.802  0.736  0.868  0.16
O  0.198  0.868  0.736  0.16
O  0.802  0.132  0.868  0.16
O  0.198  0.264  0.132  0.16
O  0.802  0.132  0.264  0.16
O  0.198  0.868  0.132  0.16
As  0.000  0.000  0.000  -0.02
Ce  0.500  0.000  0.000  -0.05
Rb  0.891  0.667  0.333  0.00
Rb  0.109  0.333  0.667  0.00



Entry 4:
Entry from the Alexandria database: an optimized crystal structure of TlZn2Br (PBE-GGA).

## Properties
* raw total energy: -0.064 Ha/atom
* uncorrected formation energy: -95 meV per atom
* size of the total moment: 0.000 μB per atom
* relative energy among the computed polymorphs: 0.20 eV per formula unit
* DOS at the Fermi energy: 1.32 states/eV/f.u.

Lattice parameters (Å, degrees): 8.445 8.445 8.445 25.60 25.60 25.60
Fractional coordinates of all 4 atoms:
Zn  0.256  0.256  0.256
Zn  0.984  0.984  0.984
Tl  0.739  0.739  0.739
Br  0.520  0.520  0.520



Entry 5:
Entry from the Alexandria database: an optimized crystal structure of Pr7Er5 (PBE-GGA).

## Properties
* raw total energy: -0.172 Ha/atom
* size of the total moment: 0.000 μB per atom
* relative energy among the computed polymorphs: 0.00 eV per formula unit
* DOS at the Fermi energy: 16.04 states/eV/f.u.

Lattice parameters (Å, degrees): 3.657 9.605 12.309 73.70 81.46 79.03
Fractional coordinates of all 12 atoms:
Er  0.306  0.641  0.747
Er  0.831  0.835  0.503
Er  0.694  0.359  0.253
Er  0.000  0.000  0.000
Er  0.169  0.165  0.497
Pr  0.029  0.692  0.250
Pr  0.971  0.308  0.750
Pr  0.668  0.669  0.995
Pr  0.640  0.973  0.748
Pr  0.332  0.331  0.005
Pr  0.500  0.500  0.500
Pr  0.360  0.027  0.252



Entry 6:
Entry from the Alexandria database: an optimized crystal structure of BaTc2 (PBE-GGA).

## Properties
* raw total energy: -0.253 Ha/atom
* size of the total moment: 0.000 μB per atom
* relative energy among the computed polymorphs: 0.77 eV per formula unit
* DOS at the Fermi energy: 2.98 states/eV/f.u.

Lattice parameters (Å, degrees): 8.642 8.642 5.607 71.06 71.06 20.90
Fractional coordinates of all 6 atoms:
Ba  0.179  0.179  0.820
Ba  0.821  0.821  0.180
Tc  0.087  0.087  0.413
Tc  0.913  0.913  0.587
Tc  0.500  0.500  0.222
Tc  0.500  0.500  0.778



Entry 7:
Entry from the Alexandria database: an optimized crystal structure of Cs3TeF6 (PBE-GGA).

## Properties
* raw total energy: -0.149 Ha/atom
* uncorrected formation energy: -2350 meV per atom
* size of the total moment: 0.100 μB per atom

Lattice parameters (Å, degrees): 7.464 7.144 7.144 56.98 56.79 56.79
Site moments in Bohr magnetons follow the coordinates.
Fractional coordinates of all 10 atoms:
Cs  0.268  0.248  0.248  0.00
Cs  0.000  0.000  0.000  0.00
Cs  0.732  0.752  0.752  0.00
F  0.668  0.366  0.764  0.06
F  0.809  0.295  0.295  0.02
F  0.332  0.236  0.634  0.06
F  0.191  0.705  0.705  0.02
F  0.668  0.764  0.366  0.06
F  0.332  0.634  0.236  0.06
Te  0.500  0.500  0.500  0.41



Entry 8:
Entry from the Alexandria database: an optimized crystal structure of Ac16La7Nd6 (PBE-GGA).

## Properties
* raw total energy: -0.156 Ha/atom
* size of the total moment: 0.000 μB per atom
* DOS at the Fermi energy: 46.38 states/eV/f.u.

Lattice parameters (Å, degrees): 12.098 12.098 12.098 60.00 60.00 60.00
Fractional coordinates of all 29 atoms:
Nd  0.262  0.262  0.738
Nd  0.262  0.738  0.262
Nd  0.738  0.262  0.738
Nd  0.738  0.738  0.262
Nd  0.738  0.262  0.262
Nd  0.262  0.738  0.738
Ac  0.051  0.650  0.650
Ac  0.350  0.350  0.949
Ac  0.350  0.949  0.350
Ac  0.650  0.650  0.650
Ac  0.125  0.626  0.125
Ac  0.650  0.650  0.051
Ac  0.125  0.125  0.125
Ac  0.374  0.875  0.875
Ac  0.875  0.875  0.875
Ac  0.949  0.350  0.350
Ac  0.650  0.051  0.650
Ac  0.125  0.125  0.626
Ac  0.875  0.374  0.875
Ac  0.875  0.875  0.374
Ac  0.350  0.350  0.350
Ac  0.626  0.125  0.125
La  0.500  0.000  0.500
La  0.000  0.000  0.000
La  0.500  0.000  0.000
La  0.500  0.500  0.000
La  0.000  0.000  0.500
La  0.000  0.500  0.500
La  0.000  0.500  0.000



Entry 9:
Entry from the Alexandria database: an optimized crystal structure of YMgAg2 (PBE-GGA).

## Properties
* raw total energy: -0.134 Ha/atom
* size of the total moment: 0.000 μB per atom
* DOS at the Fermi energy: 2.57 states/eV/f.u.

Lattice parameters (Å, degrees): 4.616 3.570 5.778 72.24 90.00 90.00
Fractional coordinates of all 4 atoms:
Mg  0.000  0.478  0.420
Ag  0.500  0.049  0.283
Ag  0.000  0.198  0.975
Y  0.500  0.774  0.822



Entry 10:
Entry from the Alexandria database: an optimized crystal structure of BeSN2O (PBE-GGA).

## Properties
* raw total energy: -0.167 Ha/atom
* uncorrected formation energy: 1335 meV per atom
* size of the total moment: 0.000 μB per atom
* DOS at the Fermi energy: 3.67 states/eV/f.u.

Lattice parameters (Å, degrees): 3.598 3.598 3.363 90.00 90.00 90.00
Fractional coordinates of all 5 atoms:
N  0.500  0.000  0.000
N  0.000  0.500  0.000
Be  0.000  0.000  0.000
O  0.000  0.000  0.500
S  0.500  0.500  0.500